Entry 1:
The following is a DFT calculation (PBE) of CaFe2Hg after structural relaxation.

The structure belongs to space group P2/m (No. 10); the cell edges are 3.2395, 4.8620 and 5.0924 Å and the angles 90.00°, 91.83° and 90.00°. The inequivalent atoms are Ca at (0.0000, 0.0000, 0.0000), Fe at (0.4330, 0.5000, 0.7598) and Hg at (0.5000, 0.0000, 0.5000).

Its magnetization is 5.27 μB per cell. For the total DFT energy (no corrections), the calculation gives -17.3 eV for the cell shown. As for the density of states at the Fermi level: 3.9 states/eV/f.u.

Entry 2:
The following is a DFT calculation (PBE) of Mg2NbV2 after structural relaxation.

The structure belongs to space group I4/mmm (No. 139); the cell edges are 3.8704, 3.8704 and 12.0175 Å and the angles 90.00°, 90.00° and 90.00°. The inequivalent atoms are Mg at (0.0000, 0.5000, 0.2500), Nb at (0.0000, 0.0000, 0.0000) and V at (0.0000, 0.0000, 0.4196).

Its magnetization is 0.00 μB per cell. As for the density of states at the Fermi level: 4.2 states/eV/f.u. The offset from the most stable computed form is 0.005 eV/atom.

Entry 3:
The following is a DFT calculation (PBE) of AcNpPd4 after structural relaxation.

The structure belongs to space group F-43m (No. 216); the cell edges are 7.8716, 7.8716 and 7.8716 Å and the angles 90.00°, 90.00° and 90.00°. The inequivalent atoms are Ac at (0.0000, 0.0000, 0.0000), Np at (0.2500, 0.2500, 0.2500) and Pd at (0.1242, 0.1242, 0.6242).

Its magnetization is 17.04 μB per cell. For the total DFT energy (no corrections), the calculation gives -162.6 eV for the cell shown. As for the density of states at the Fermi level: 15.9 states/eV/f.u.

Entry 4:
The following is a DFT calculation (PBE) of Al3NO after structural relaxation.

The structure belongs to space group Pm-3m (No. 221); the cell edges are 4.0722, 4.0722 and 4.0722 Å and the angles 90.00°, 90.00° and 90.00°. The inequivalent atoms are Al at (0.0000, 0.0000, 0.5000), N at (0.0000, 0.0000, 0.0000) and O at (0.5000, 0.5000, 0.5000).

Its magnetization is 0.00 μB per cell. For the uncorrected formation energy, the calculation gives 22.5 kJ/mol of atoms. As for the density of states at the Fermi level: 1.2 states/eV/f.u. The offset from the most stable computed form is 0.000 eV/atom.

Entry 5:
The following is a DFT calculation (PBE) of Ti2CoS4 after structural relaxation.

The structure belongs to space group C2/m (No. 12); the cell edges are 12.5140, 3.3738 and 5.8210 Å and the angles 90.00°, 117.19° and 90.00°. The inequivalent atoms are Ti at (0.2436, 0.0000, 0.2350), Co at (0.0000, 0.5000, 0.5000), S at (0.1145, 0.5000, 0.9435) and S at (0.1196, 0.0000, 0.4591).

Its magnetization is 1.09 μB per cell. For the uncorrected formation energy, the calculation gives -109.2 kJ/mol of atoms. As for the density of states at the Fermi level: 4.3 states/eV/f.u. The offset from the most stable computed form is 0.000 eV/atom.

Entry 6:
The following is a DFT calculation (PBE) of Tb3Sm2Se6 after structural relaxation.

The structure belongs to space group C2/m (No. 12); the cell edges are 7.1345, 12.2999 and 7.1248 Å and the angles 90.00°, 109.45° and 90.00°. The inequivalent atoms are Tb at (0.0000, 0.0000, 0.0000), Tb at (0.0000, 0.3346, 0.0000), Sm at (0.0000, 0.1651, 0.5000), Se at (0.2430, 0.5000, 0.2501) and Se at (0.2483, 0.3359, 0.7532).

Its magnetization is 0.00 μB per cell. For the uncorrected formation energy, the calculation gives -181.6 kJ/mol of atoms. As for the density of states at the Fermi level: 4.4 states/eV/f.u. The offset from the most stable computed form is 0.000 eV/atom.

Question: Number 3 is which compound?
Answer: AcNpPd4

Question: density of states at the Fermi level of number 1 (CaFe2Hg)?
Answer: 3.9 states/eV/f.u.

Question: magnetization of number 3 (AcNpPd4)?
Answer: 17.04 μB per cell

Question: What is the magnetization in the fifth record?
Answer: 1.09 μB per cell